No. 1
This record from the Alexandria database describes a relaxed structure of ReSiTc2. The functional is PBEsol.

- Uncorrected energy: -42.6 eV/cell
- Space group: Imm2, No. 44
- Uncorrected formation energy: -249 meV/atom

a = 5.011 Å, b = 5.011 Å, c = 5.011 Å
α = 145.95°, β = 129.13°, γ = 62.63°
Atoms (fractional coordinates):
Re: 0.000 0.000 0.000
Si: 0.236 0.736 0.500
Tc: 0.467 0.467 0.000
Tc: 0.735 0.235 0.500

No. 2
This record from the Alexandria database describes a relaxed structure of ReSiTc2. The functional is PBEsol.

- Uncorrected energy: -42.5 eV/cell
- Space group: P4mm, No. 99
- Uncorrected formation energy: -219 meV/atom

a = 2.885 Å, b = 2.885 Å, c = 6.470 Å
α = 90.00°, β = 90.00°, γ = 90.00°
Atoms (fractional coordinates):
Re: 0.000 0.000 0.000
Si: 0.500 0.500 0.237
Tc: 0.000 0.000 0.462
Tc: 0.500 0.500 0.730

No. 3
This record from the Alexandria database describes a relaxed structure of ReSi2Tc. The functional is PBEsol.

- Uncorrected energy: -36.3 eV/cell
- Space group: Cmmm, No. 65
- Uncorrected formation energy: -54 meV/atom
- ΔE to the lowest computed polymorph: 390 meV/atom

a = 2.813 Å, b = 2.813 Å, c = 7.750 Å
α = 90.00°, β = 90.00°, γ = 116.95°
Atoms (fractional coordinates):
Re: 0.000 0.000 0.000
Si: 0.500 0.500 0.253
Si: 0.500 0.500 0.747
Tc: 0.000 0.000 0.500

No. 4
This record from the Alexandria database describes a relaxed structure of ReSiTc2. The functional is PBEsol.

- Uncorrected energy: -42.2 eV/cell
- Space group: Pmmm, No. 47
- Uncorrected formation energy: -149 meV/atom

a = 2.797 Å, b = 3.928 Å, c = 5.012 Å
α = 90.00°, β = 90.00°, γ = 90.00°
Atoms (fractional coordinates):
Re: 0.000 0.000 0.000
Si: 0.000 0.000 0.500
Tc: 0.500 0.500 0.261
Tc: 0.500 0.500 0.739

No. 5
This record from the Alexandria database describes a relaxed structure of ReSiTc2. The functional is PBEsol.

- Uncorrected energy: -41.0 eV/cell
- Space group: Cmm2, No. 35
- Uncorrected formation energy: 142 meV/atom

a = 2.710 Å, b = 2.710 Å, c = 8.321 Å
α = 90.00°, β = 90.00°, γ = 114.70°
Atoms (fractional coordinates):
Re: 0.000 0.000 0.000
Si: 0.500 0.500 0.241
Tc: 0.000 0.000 0.473
Tc: 0.500 0.500 0.736

No. 6
This record from the Alexandria database describes a relaxed structure of ReSi2Tc. The functional is PBEsol.

- Uncorrected energy: -36.3 eV/cell
- Space group: C2/m, No. 12
- Uncorrected formation energy: -58 meV/atom
- ΔE to the lowest computed polymorph: 387 meV/atom

a = 4.783 Å, b = 4.783 Å, c = 2.811 Å
α = 105.39°, β = 105.39°, γ = 107.80°
Atoms (fractional coordinates):
Re: 0.000 0.000 0.000
Si: 0.000 0.500 0.500
Si: 0.500 0.000 0.500
Tc: 0.500 0.500 0.000

No. 7
This record from the Alexandria database describes a relaxed structure of ReSi2Tc. The functional is PBEsol.

- Uncorrected energy: -37.9 eV/cell
- Space group: P4mm, No. 99
- Uncorrected formation energy: -444 meV/atom
- ΔE to the lowest computed polymorph: 0 meV/atom

a = 3.088 Å, b = 3.088 Å, c = 5.524 Å
α = 90.00°, β = 90.00°, γ = 90.00°
Atoms (fractional coordinates):
Re: 0.000 0.000 0.000
Si: 0.000 0.000 0.462
Si: 0.500 0.500 0.208
Tc: 0.500 0.500 0.667

No. 8
This record from the Alexandria database describes a relaxed structure of ReSiTc2. The functional is PBEsol.

- Uncorrected energy: -42.7 eV/cell
- Space group: P4/mmm, No. 123
- Uncorrected formation energy: -282 meV/atom

a = 2.901 Å, b = 2.901 Å, c = 6.387 Å
α = 90.00°, β = 90.00°, γ = 90.00°
Atoms (fractional coordinates):
Re: 0.000 0.000 0.000
Si: 0.000 0.000 0.500
Tc: 0.500 0.500 0.270
Tc: 0.500 0.500 0.730

No. 9
This record from the Alexandria database describes a relaxed structure of YRe2SiTc. The functional is PBEsol.

- Uncorrected energy: -35.4 eV/cell
- Space group: P4/mmm, No. 123
- Uncorrected formation energy: 3028 meV/atom

a = 4.675 Å, b = 4.675 Å, c = 4.763 Å
α = 90.00°, β = 90.00°, γ = 90.00°
Atoms (fractional coordinates):
Y: 0.000 0.000 0.000
Re: 0.000 0.500 0.000
Re: 0.500 0.000 0.000
Si: 0.000 0.000 0.500
Tc: 0.500 0.500 0.500

No. 10
This record from the Alexandria database describes a relaxed structure of ReSi2Te. The functional is PBEsol.

- Uncorrected energy: -26.8 eV/cell
- Space group: R3m, No. 160
- Uncorrected formation energy: 390 meV/atom

a = 9.019 Å, b = 9.019 Å, c = 9.019 Å
α = 19.54°, β = 19.54°, γ = 19.54°
Atoms (fractional coordinates):
Re: 0.000 0.000 0.000
Si: 0.265 0.265 0.265
Si: 0.525 0.525 0.525
Te: 0.744 0.744 0.744

No. 11
This record from the Alexandria database describes a relaxed structure of ReSiTe. The functional is PBEsol.

- Uncorrected energy: -21.3 eV/cell
- Space group: F-43m, No. 216
- Uncorrected formation energy: 444 meV/atom
- ΔE to the lowest computed polymorph: 0 meV/atom

a = 4.333 Å, b = 4.333 Å, c = 4.333 Å
α = 60.00°, β = 60.00°, γ = 60.00°
Atoms (fractional coordinates):
Re: 0.000 0.000 0.000
Si: 0.750 0.750 0.750
Te: 0.250 0.250 0.250

No. 12
This record from the Alexandria database describes a relaxed structure of ReSi2Te. The functional is PBEsol.

- Uncorrected energy: -24.7 eV/cell
- Space group: P4/mmm, No. 123
- Uncorrected formation energy: 913 meV/atom

a = 3.884 Å, b = 3.884 Å, c = 4.393 Å
α = 90.00°, β = 90.00°, γ = 90.00°
Atoms (fractional coordinates):
Re: 0.000 0.000 0.000
Si: 0.000 0.500 0.500
Si: 0.500 0.000 0.500
Te: 0.500 0.500 0.000

No. 13
This record from the Alexandria database describes a relaxed structure of ReSiTe2. The functional is PBEsol.

- Uncorrected energy: -22.6 eV/cell
- Space group: I-4m2, No. 119
- Uncorrected formation energy: 880 meV/atom

a = 5.006 Å, b = 5.006 Å, c = 5.006 Å
α = 127.89°, β = 127.89°, γ = 76.81°
Atoms (fractional coordinates):
Re: 0.000 0.000 0.000
Si: 0.750 0.250 0.500
Te: 0.250 0.750 0.500
Te: 0.500 0.500 0.000

No. 14
This record from the Alexandria database describes a relaxed structure of ThRe4Si2. The functional is PBEsol.

- Uncorrected energy: -306.4 eV/cell
- Space group: Pnnm, No. 58
- Uncorrected formation energy: -524 meV/atom

a = 7.206 Å, b = 15.518 Å, c = 4.130 Å
α = 90.00°, β = 90.00°, γ = 90.00°
Atoms (fractional coordinates):
Th: 0.086 0.118 0.000
Th: 0.414 0.618 0.500
Th: 0.586 0.382 0.500
Th: 0.914 0.882 0.000
Re: 0.003 0.705 0.500
Re: 0.070 0.580 0.000
Re: 0.143 0.449 0.500
Re: 0.239 0.322 0.000
Re: 0.261 0.822 0.500
Re: 0.357 0.949 0.000
Re: 0.430 0.080 0.500
Re: 0.497 0.205 0.000
Re: 0.503 0.795 0.000
Re: 0.570 0.920 0.500
Re: 0.643 0.051 0.000
Re: 0.739 0.178 0.500
Re: 0.761 0.678 0.000
Re: 0.857 0.551 0.500
Re: 0.930 0.420 0.000
Re: 0.997 0.295 0.500
Si: 0.170 0.975 0.500
Si: 0.197 0.727 0.000
Si: 0.303 0.227 0.500
Si: 0.330 0.475 0.000
Si: 0.670 0.525 0.000
Si: 0.697 0.773 0.500
Si: 0.803 0.273 0.000
Si: 0.830 0.025 0.500